Compound: NiAg2Ru
Source: Alexandria via LeMat-Bulk
Functional: PBE
Structure: optimized geometry Values from VASP.

Quantum ESPRESSO input file:
```
&SYSTEM
  ibrav = 0, nat = 4, ntyp = 3
/
ATOMIC_SPECIES
Ni 58.69 Ni.upf
Ag 107.87 Ag.upf
Ru 101.07 Ru.upf
CELL_PARAMETERS angstrom
2.729 0.000 0.000
0.000 4.175 0.000
0.000 0.000 5.404
ATOMIC_POSITIONS angstrom
Ni 1.365 2.087 0.000
Ag 0.000 0.000 4.074
Ag 0.000 0.000 1.330
Ru 1.365 2.087 2.702
```

Results
DFT total energy = -4.66 eV per atom